Entry from Alexandria via LeMat-Bulk: crystalline Nd7ErTm2 at its relaxed geometry (PBE).

Lattice parameters (Å, degrees): 8.8794 16.4388 5.6617 90.00 90.00 90.00
Space group Cmmm (No. 65)
Asymmetric unit:
Nd 0.0000 0.0000 0.0000 [2 per cell]
Nd 0.0000 0.2806 0.5000 [4 per cell]
Nd 0.1791 0.3867 0.0000 [8 per cell]
Er 0.0000 0.5000 0.5000 [2 per cell]
Tm 0.0000 0.2052 0.0000 [4 per cell]

Entry from Alexandria via LeMat-Bulk: crystalline Nd3Er2Tm3 at its relaxed geometry (PBE).

Lattice parameters (Å, degrees): 16.2685 5.6744 5.9920 90.00 110.08 90.00
Space group C2/m (No. 12)
Asymmetric unit:
Nd 0.0000 0.0000 0.0000 [2 per cell]
Nd 0.1354 0.0000 0.7007 [4 per cell]
Er 0.2498 0.0000 0.3188 [4 per cell]
Tm 0.0000 0.5000 0.5000 [2 per cell]
Tm 0.1331 0.5000 0.0816 [4 per cell]

## Properties
Distance to the lowest polymorph of the same formula (meV per atom): 0

Entry from Alexandria via LeMat-Bulk: crystalline NdEr8Tm6 at its relaxed geometry (PBE).

Lattice parameters (Å, degrees): 9.3243 9.3243 6.4137 90.00 90.00 120.00
Space group P-3 (No. 147)
Asymmetric unit:
Nd 0.0000 0.0000 0.0000 [1 per cell]
Er 0.0257 0.6859 0.4070 [6 per cell]
Er 0.3333 0.6667 0.6695 [2 per cell]
Tm 0.0987 0.4179 0.0895 [6 per cell]

## Properties
Distance to the lowest polymorph of the same formula (meV per atom): 94

Entry from Alexandria via LeMat-Bulk: crystalline Nd2Er15Tm2 at its relaxed geometry (PBE).

Lattice parameters (Å, degrees): 11.1873 11.1873 17.2828 90.00 90.00 120.00
Space group R-3m (No. 166, hexagonal axes)
Asymmetric unit:
Nd 0.0000 0.0000 0.1713 [6 per cell]
Er 0.0000 0.2980 0.5000 [18 per cell]
Er 0.0000 0.5000 0.0000 [9 per cell]
Er 0.0079 0.5040 0.6398 [18 per cell]
Tm 0.0000 0.0000 0.4012 [6 per cell]

Entry from Alexandria via LeMat-Bulk: crystalline Nd4Er5Tm3 at its relaxed geometry (PBE).

Lattice parameters (Å, degrees): 16.0430 5.8967 9.3658 90.00 116.96 90.00
Space group C2/m (No. 12)
Asymmetric unit:
Nd 0.0855 0.0000 0.4486 [4 per cell]
Nd 0.2172 0.0000 0.8831 [4 per cell]
Er 0.0000 0.0000 0.0000 [2 per cell]
Er 0.0696 0.5000 0.7040 [4 per cell]
Er 0.1701 0.5000 0.3804 [4 per cell]
Tm 0.0000 0.5000 0.0000 [2 per cell]
Tm 0.2141 0.0000 0.2393 [4 per cell]

Entry from Alexandria via LeMat-Bulk: crystalline Nd4Er9Tm11 at its relaxed geometry (PBE).

Lattice parameters (Å, degrees): 16.5188 24.8377 3.6555 90.00 90.00 90.00
Space group Cmmm (No. 65)
Asymmetric unit:
Nd 0.1542 0.1000 0.0000 [8 per cell]
Er 0.0000 0.0000 0.0000 [2 per cell]
Er 0.1020 0.2359 0.0000 [8 per cell]
Er 0.1384 0.4270 0.0000 [8 per cell]
Tm 0.0000 0.1363 0.5000 [4 per cell]
Tm 0.0000 0.3405 0.5000 [4 per cell]
Tm 0.0000 0.5000 0.5000 [2 per cell]
Tm 0.2152 0.0000 0.5000 [4 per cell]
Tm 0.2255 0.3185 0.5000 [8 per cell]

Entry from Alexandria via LeMat-Bulk: crystalline Nd3Er8Tm2 at its relaxed geometry (PBE).

Lattice parameters (Å, degrees): 14.5581 9.0908 6.9157 90.00 108.95 90.00
Space group C2/m (No. 12)
Asymmetric unit:
Nd 0.0000 0.0000 0.0000 [2 per cell]
Nd 0.0000 0.1770 0.5000 [4 per cell]
Er 0.0844 0.5000 0.7333 [4 per cell]
Er 0.1193 0.3196 0.1783 [8 per cell]
Er 0.1930 0.0000 0.8991 [4 per cell]
Tm 0.2155 0.0000 0.4246 [4 per cell]

## Properties
Distance to the lowest polymorph of the same formula (meV per atom): 0

Entry from Alexandria via LeMat-Bulk: crystalline Nd5Er3Tm3 at its relaxed geometry (PBE).

Lattice parameters (Å, degrees): 11.2210 11.2210 3.4453 90.00 90.00 120.00
Space group P-62m (No. 189)
Asymmetric unit:
Nd 0.0000 0.3382 0.0000 [3 per cell]
Nd 0.3333 0.6667 0.0000 [2 per cell]
Er 0.0000 0.5957 0.5000 [3 per cell]
Tm 0.0000 0.8408 0.0000 [3 per cell]

Entry from Alexandria via LeMat-Bulk: crystalline Nd8ErTm2 at its relaxed geometry (PBE).

Lattice parameters (Å, degrees): 5.6861 8.2616 16.1050 90.00 90.00 90.00
Space group Immm (No. 71)
Asymmetric unit:
Nd 0.0000 0.0000 0.1636 [4 per cell]
Nd 0.0000 0.2040 0.3639 [8 per cell]
Nd 0.0000 0.2930 0.0000 [4 per cell]
Er 0.0000 0.5000 0.5000 [2 per cell]
Tm 0.0000 0.5000 0.2008 [4 per cell]

## Properties
Distance to the lowest polymorph of the same formula (meV per atom): 0

Entry from Alexandria via LeMat-Bulk: crystalline NdEr2Tm at its relaxed geometry (PBE).

Lattice parameters (Å, degrees): 6.2578 7.2335 11.2840 90.00 90.03 90.00
Space group P2/c (No. 13)
Asymmetric unit:
Nd 0.1677 0.2497 0.3772 [4 per cell]
Er 0.1684 0.2492 0.8733 [4 per cell]
Er 0.3347 0.4992 0.6254 [4 per cell]
Tm 0.3349 0.0008 0.6253 [4 per cell]

## Properties
Distance to the lowest polymorph of the same formula (meV per atom): 1

Entry from Alexandria via LeMat-Bulk: crystalline NdEr4Tm3 at its relaxed geometry (PBE).

Lattice parameters (Å, degrees): 3.5288 7.0261 9.9390 90.00 90.00 90.00
Space group Pmmm (No. 47)
Asymmetric unit:
Nd 0.0000 0.0000 0.0000 [1 per cell]
Er 0.5000 0.2520 0.2526 [4 per cell]
Tm 0.0000 0.0000 0.5000 [1 per cell]
Tm 0.0000 0.5000 0.0000 [1 per cell]
Tm 0.0000 0.5000 0.5000 [1 per cell]

## Properties
Distance to the lowest polymorph of the same formula (meV per atom): 24

Entry from Alexandria via LeMat-Bulk: crystalline NdErTm4 at its relaxed geometry (PBE).

Lattice parameters (Å, degrees): 9.2410 9.2410 9.2410 90.00 90.00 90.00
Space group F-43m (No. 216)
Asymmetric unit:
Nd 0.0000 0.0000 0.0000 [4 per cell]
Er 0.2500 0.2500 0.7500 [4 per cell]
Tm 0.1245 0.1245 0.3755 [16 per cell]

## Properties
Distance to the lowest polymorph of the same formula (meV per atom): 253

Calculated total energy, record by record: -4.0479; -4.5171; -4.3063; -4.2961; -4.3744; -4.4937; -4.3546; -4.3137; -4.5830; -4.5824; -4.5279; -4.2573 eV per atom
Volume, record by record: 41.32; 32.47; 32.19; 32.86; 32.90; 31.25; 33.29; 34.15; 34.39; 31.92; 30.80; 32.88 Å³ per atom
DFT formation energy, record by record: 0.64; 0.09; 0.23; 0.28; 0.23; 0.06; 0.24; 0.32; 0.11; 0.01; 0.03; 0.28 eV/atom